# 1
Below is a geometry-optimized TlSiSe2 structure, with properties calculated at the PBE-GGA level.

Cell: 3.6448 3.6448 8.6391 Å, 90.00 90.00 90.00°
Closest atoms and distances in Å follow each position.
Element x y z (fractional)
Tl: 0.0000 0.0000 0.0000  4 Se 3.06
Si: 0.5000 0.5000 0.4534  1 Se 2.27
Se: 0.0000 0.0000 0.5357  4 Si 2.67
Se: 0.5000 0.5000 0.1910  1 Si 2.27

**Uncorrected formation energy**: -63 kJ/mol of formula units
**SG**: No. 99


# 2
Below is a geometry-optimized Nd2Ho7In2 structure, with properties calculated at the PBE-GGA level.

Cell: 6.7471 6.7471 9.0944 Å, 90.00 90.00 120.46°
Closest atoms and distances in Å follow each position.
Element x y z (fractional)
Nd: 0.2376 0.2376 0.0000  2 Nd 3.18-3.52, 6 Ho 3.38-3.47
Nd: 0.7624 0.7624 0.0000  2 Nd 3.18-3.52, 6 Ho 3.38-3.47
Ho: 0.0000 0.0000 0.5000  2 In 3.17
Ho: 0.0000 0.5000 0.2041  2 In 3.18, 4 Ho 3.35-3.53, 2 Nd 3.47
Ho: 0.0000 0.5000 0.7959  2 In 3.18, 4 Ho 3.35-3.53, 2 Nd 3.47
Ho: 0.5000 0.0000 0.2041  2 In 3.18, 4 Ho 3.35-3.53, 2 Nd 3.47
Ho: 0.5000 0.0000 0.7959  2 In 3.18, 4 Ho 3.35-3.53, 2 Nd 3.47
Ho: 0.5000 0.5000 0.3168  2 In 3.16, 5 Ho 3.33-3.53, 2 Nd 3.38
Ho: 0.5000 0.5000 0.6832  2 In 3.16, 5 Ho 3.33-3.53, 2 Nd 3.38
In: 0.2709 0.7291 0.5000  7 Ho 3.16-3.18, 2 In 3.39
In: 0.7291 0.2709 0.5000  7 Ho 3.16-3.18, 2 In 3.39

**Formation energy from the elements**: 0.14 eV/atom
**SG**: No. 65


# 3
Below is a geometry-optimized CaAcMgCu structure, with properties calculated at the PBE-GGA level.

Cell: 5.4791 5.4791 5.4791 Å, 60.00 60.00 60.00°
Closest atoms and distances in Å follow each position.
Element x y z (fractional)
Ca: 0.0000 0.0000 0.0000  4 Cu 3.36, 4 Mg 3.36
Ac: 0.5000 0.5000 0.5000  4 Cu 3.36, 4 Mg 3.36
Mg: 0.2500 0.2500 0.2500  4 Ac 3.36, 4 Ca 3.36
Cu: 0.7500 0.7500 0.7500  4 Ac 3.36, 4 Ca 3.36

**Formation energy from the elements**: -0.01 eV/atom
**SG**: No. 216


# 4
Below is a geometry-optimized RbScNO2 structure, with properties calculated at the PBE-GGA level.

Cell: 4.2017 4.2017 4.4059 Å, 90.00 90.00 90.00°
Closest atoms and distances in Å follow each position.
Element x y z (fractional)
Rb: 0.0000 0.0000 0.0000  4 O 2.10, 2 N 2.20
Sc: 0.5000 0.5000 0.5000  4 N 2.97, 8 O 3.04
N: 0.0000 0.0000 0.5000  2 Rb 2.20
O: 0.0000 0.5000 0.0000  2 Rb 2.10
O: 0.5000 0.0000 0.0000  2 Rb 2.10

**Uncorrected formation energy**: 438 kJ/mol of formula units
**SG**: No. 123


# 5
Below is a geometry-optimized Y5ErSc structure, with properties calculated at the PBE-GGA level.

Cell: 6.0871 6.0976 6.0994 Å, 99.57 99.55 99.76°
Closest atoms and distances in Å follow each position.
Element x y z (fractional)
Y: 0.0000 0.0000 0.0000  8 Y 3.47-3.56, 2 Er 3.50-3.55, 2 Sc 3.51
Y: 0.1384 0.2860 0.5622  8 Y 3.47-3.56, 2 Sc 3.48-3.52, 2 Er 3.52
Y: 0.2897 0.5740 0.1404  2 Er 3.46-3.56, 2 Sc 3.50-3.51, 8 Y 3.51-3.56
Y: 0.4273 0.8629 0.7099  8 Y 3.47-3.56, 2 Sc 3.50-3.52, 2 Er 3.51-3.54
Y: 0.7130 0.4264 0.8520  8 Y 3.47-3.56, 2 Sc 3.51, 2 Er 3.52-3.53
Er: 0.8518 0.7142 0.4240  10 Y 3.46-3.56, 2 Sc 3.50-3.51
Sc: 0.5714 0.1443 0.2816  10 Y 3.48-3.52, 2 Er 3.50-3.51

**Formation energy from the elements**: 0.04 eV/atom
**SG**: No. 1


# 6
Below is a geometry-optimized NiSbP2S structure, with properties calculated at the PBE-GGA level.

Cell: 5.0303 5.0303 4.9360 Å, 90.00 90.00 90.00°
Closest atoms and distances in Å follow each position.
Element x y z (fractional)
Ni: 0.0000 0.0000 0.0000  8 P 3.52, 4 S 3.56
Sb: 0.5000 0.5000 0.5000  2 S 2.47, 4 P 2.52
P: 0.0000 0.5000 0.5000  2 Sb 2.52
P: 0.5000 0.0000 0.5000  2 Sb 2.52
S: 0.5000 0.5000 0.0000  2 Sb 2.47

**Uncorrected formation energy**: 691 kJ/mol of formula units
**ΔE to the lowest computed polymorph**: 0.9758 eV per atom
**SG**: No. 123


# 7
Below is a geometry-optimized TlBSe2 structure, with properties calculated at the PBE-GGA level.

Cell: 7.0069 5.5108 7.0084 Å, 90.00 90.05 90.00°
Closest atoms and distances in Å follow each position.
Element x y z (fractional)
Tl: 0.0000 0.0000 0.0000  6 Se 3.28-3.48
Tl: 0.4990 0.5000 0.5003  6 Se 3.28-3.48
B: 0.5001 0.2498 0.9999  4 Se 2.08-2.09
B: 0.5001 0.7502 0.9999  4 Se 2.08-2.09
Se: 0.2918 0.5000 0.0797  2 B 2.09
Se: 0.4199 0.0000 0.7916  2 B 2.08
Se: 0.5802 0.0000 0.2082  2 B 2.08
Se: 0.7084 0.5000 0.9198  2 B 2.09

**Uncorrected formation energy**: -73 kJ/mol of formula units
**SG**: No. 6


# 8
Below is a geometry-optimized TbCoHg structure, with properties calculated at the PBE-GGA level.

Cell: 8.4799 8.4799 3.8538 Å, 90.00 90.00 153.17°
Closest atoms and distances in Å follow each position.
Element x y z (fractional)
Tb: 0.0956 0.9044 0.7500  6 Co 2.91-2.93
Tb: 0.9044 0.0956 0.2500  6 Co 2.91-2.93
Co: 0.4658 0.5342 0.7500  2 Co 2.23
Co: 0.5342 0.4658 0.2500  2 Co 2.23
Hg: 0.2989 0.7011 0.7500  1 Co 2.75
Hg: 0.7011 0.2989 0.2500  1 Co 2.75

**Formation energy from the elements**: -0.33 eV/atom
**SG**: No. 63


# 9
Below is a geometry-optimized Li2MnBI structure, with properties calculated at the PBE-GGA level.

Cell: 5.3567 5.3567 3.8419 Å, 90.00 90.00 90.00°
Closest atoms and distances in Å follow each position.
Element x y z (fractional)
Li: 0.0000 0.5000 0.0000  2 Mn 2.68
Li: 0.5000 0.0000 0.0000  2 Mn 2.68
Mn: 0.0000 0.0000 0.0000  2 B 1.92
B: 0.0000 0.0000 0.5000  2 Mn 1.92
I: 0.5000 0.5000 0.5000  8 Li 3.30

**Uncorrected formation energy**: 248 kJ/mol of formula units
**SG**: No. 123


# 10
Below is a geometry-optimized PaCdAu4 structure, with properties calculated at the PBE-GGA level.

Cell: 5.1437 5.1437 7.2740 Å, 108.37 108.37 43.93°
Closest atoms and distances in Å follow each position.
Element x y z (fractional)
Pa: 0.0000 0.0000 0.0000  10 Au 3.01-3.09
Cd: 0.0000 0.0000 0.5000  10 Au 2.99-3.03
Au: 0.3328 0.3328 0.6658  5 Au 2.95-3.07, 3 Cd 2.99-3.00, 2 Pa 3.09
Au: 0.3384 0.3384 0.1760  5 Au 2.95-3.19, 3 Pa 3.01-3.04, 2 Cd 3.03
Au: 0.6616 0.6616 0.8240  5 Au 2.95-3.19, 3 Pa 3.01-3.04, 2 Cd 3.03
Au: 0.6672 0.6672 0.3342  5 Au 2.95-3.07, 3 Cd 2.99-3.00, 2 Pa 3.09

**Formation energy from the elements**: -0.26 eV/atom
**ΔE to the lowest computed polymorph**: 0.0000 eV per atom
**SG**: No. 12


# 11
Below is a geometry-optimized Pm6IrOs2Br3 structure, with properties calculated at the PBE-GGA level.

Cell: 7.1223 7.1223 8.1242 Å, 98.41 98.41 120.01°
Closest atoms and distances in Å follow each position.
Element x y z (fractional)
Pm: 0.0970 0.4346 0.8039  2 Os 2.81, 1 Ir 2.85
Pm: 0.2279 0.2279 0.1962  2 Os 2.81, 1 Ir 2.85
Pm: 0.4346 0.0970 0.8039  2 Os 2.81, 1 Ir 2.85
Pm: 0.5654 0.9030 0.1961  2 Os 2.81, 1 Ir 2.85
Pm: 0.7721 0.7721 0.8038  2 Os 2.81, 1 Ir 2.85
Pm: 0.9030 0.5654 0.1961  2 Os 2.81, 1 Ir 2.85
Ir: 0.5000 0.5000 0.0000  6 Pm 2.85
Os: 0.1665 0.8335 0.0000  6 Pm 2.81
Os: 0.8335 0.1665 0.0000  6 Pm 2.81
Br: 0.0000 0.0000 0.5000  6 Pm 3.33-3.36
Br: 0.3318 0.6682 0.5000  6 Pm 3.31-3.37
Br: 0.6682 0.3318 0.5000  6 Pm 3.31-3.37

**Uncorrected formation energy**: -922 kJ/mol of formula units
**SG**: No. 12


# 12
Below is a geometry-optimized Rb8AgAu2F structure, with properties calculated at the PBE-GGA level.

Cell: 8.0348 8.5019 8.9990 Å, 93.21 99.53 92.63°
Closest atoms and distances in Å follow each position.
Element x y z (fractional)
Rb: 0.1839 0.2264 0.4438  1 F 2.88
Rb: 0.2532 0.7103 0.3131  1 F 3.36, 2 Au 3.51-3.67, 1 Ag 3.53
Rb: 0.2566 0.6132 0.7459  1 F 2.85
Rb: 0.2731 0.1290 0.9739  2 Au 3.76-3.89, 1 Ag 3.94
Rb: 0.7269 0.8710 0.0261  2 Au 3.76-3.89, 1 Ag 3.94
Rb: 0.7434 0.3868 0.2541  1 F 2.85
Rb: 0.7468 0.2897 0.6869  1 F 3.36, 2 Au 3.51-3.67, 1 Ag 3.53
Rb: 0.8161 0.7736 0.5562  1 F 2.88
Ag: 0.0000 0.5000 0.0000  4 Rb 3.47-3.53
Au: 0.4559 0.9623 0.6447  1 Au 2.91
Au: 0.5441 0.0377 0.3553  1 Au 2.91
F: 0.0000 0.5000 0.5000  4 Rb 2.85-2.88

**Uncorrected formation energy**: -563 kJ/mol of formula units
**SG**: No. 2


no.,raw total energy (eV/atom)
1,-3.85
2,-4.14
3,-2.96
4,-4.20
5,-6.13
6,-3.54
7,-4.19
8,-4.35
9,-3.73
10,-4.18
11,-6.20
12,-2.07